DFT (PBE with a Hubbard U) results for crystalline TiFeO3 at its relaxed geometry.

The value obtained for the magnetization is 8.00 Bohr magnetons per cell. The calculated total energy is -80.678 eV per cell.

Cell: 5.3861 5.3967 5.9029 Å, 62.80 89.95 89.94°
With the nearest neighbours (Å) after each atom.
Positions (direct):
Ti 0.2500 0.0640 0.3717  1 O 1.73
Ti 0.7500 0.9360 0.6283  1 O 1.73
Fe 0.2500 0.4127 0.6740  5 O 1.93-2.16
Fe 0.7500 0.5873 0.3260  5 O 1.93-2.16
O 0.9999 0.2373 0.5000  2 Ti 1.98, 2 Fe 2.16
O 0.0001 0.7627 0.5000  2 Ti 1.98, 2 Fe 2.16
O 0.2502 0.2280 0.0425  1 Ti 1.73, 1 Fe 1.93
O 0.5000 0.2376 0.4993  2 Ti 1.98, 2 Fe 2.16
O 0.5000 0.7624 0.5007  2 Ti 1.98, 2 Fe 2.16
O 0.7498 0.7720 0.9575  1 Ti 1.73, 1 Fe 1.93